Model a:
# GGA-PBE PmSm2Pd2, relaxed
data_PmSm2Pd2
_chemical_formula_sum 'Pm2 Sm4 Pd4'
_symmetry_space_group_name_H-M 'P 4/m b m'
_symmetry_Int_Tables_number 127
_symmetry_space_group_name_Hall '-P 4 2ab'
_cell_length_a 8.019
_cell_length_b 8.019
_cell_length_c 3.964
_cell_angle_alpha 90.00
_cell_angle_beta 90.00
_cell_angle_gamma 90.00
loop_
_atom_site_label
_atom_site_type_symbol
_atom_site_fract_x
_atom_site_fract_y
_atom_site_fract_z
Pm1 Pm 0.000 0.000 0.000
Sm1 Sm 0.167 0.333 0.500
Pd1 Pd 0.127 0.627 0.000
# Crystal system ... tetragonal
# Volume ... 127.45 Å³/f.u.

Model b:
# GGA-PBE PmSm2Pd2, relaxed
data_PmSm2Pd2
_chemical_formula_sum 'Pm2 Sm4 Pd4'
_symmetry_space_group_name_H-M 'P 1 21/m 1'
_symmetry_Int_Tables_number 11
_cell_length_a 5.610
_cell_length_b 4.674
_cell_length_c 10.612
_cell_angle_alpha 90.00
_cell_angle_beta 97.23
_cell_angle_gamma 90.00
loop_
_symmetry_equiv_pos_as_xyz
'x,y,z'
'-x,-y,-z'
'-x,y+1/2,-z'
'x,-y+1/2,z'
loop_
_atom_site_label
_atom_site_type_symbol
_atom_site_fract_x
_atom_site_fract_y
_atom_site_fract_z
Pm1 Pm 0.095 0.250 0.287
Sm1 Sm 0.255 0.250 0.964
Sm2 Sm 0.389 0.250 0.619
Pd1 Pd 0.148 0.750 0.475
Pd2 Pd 0.260 0.750 0.135
# Crystal system ... monoclinic
# Volume ... 138.04 Å³/f.u.

Energies relative to the most stable structure are model a 0.0; model b 4.5, reported in kJ/mol of atoms.

Model a:
# GGA-PBE PmSm4Pd2, relaxed
data_PmSm4Pd2
_chemical_formula_sum 'Pm3 Sm12 Pd6'
_symmetry_space_group_name_H-M 'R -3 m'
_symmetry_Int_Tables_number 166
_symmetry_space_group_name_Hall '-R 3 2"'
_cell_length_a 4.0443
_cell_length_b 4.0443
_cell_length_c 46.1328
_cell_angle_alpha 90.00
_cell_angle_beta 90.00
_cell_angle_gamma 120.00
loop_
_atom_site_label
_atom_site_type_symbol
_atom_site_fract_x
_atom_site_fract_y
_atom_site_fract_z
Pm1 Pm 0.0000 0.0000 0.0000
Sm1 Sm 0.0000 0.0000 0.1982
Sm2 Sm 0.0000 0.0000 0.3959
Pd1 Pd 0.0000 0.0000 0.0989
# Crystal system ... trigonal
# Volume ... 217.82 Å³/f.u.

Model b:
# GGA-PBE PmSm4Pd2, relaxed
data_PmSm4Pd2
_chemical_formula_sum 'Pm2 Sm8 Pd4'
_symmetry_space_group_name_H-M 'P -1'
_symmetry_Int_Tables_number 2
_cell_length_a 7.113
_cell_length_b 7.449
_cell_length_c 8.171
_cell_angle_alpha 108.29
_cell_angle_beta 98.53
_cell_angle_gamma 91.60
loop_
_symmetry_equiv_pos_as_xyz
'x,y,z'
'-x,-y,-z'
loop_
_atom_site_label
_atom_site_type_symbol
_atom_site_fract_x
_atom_site_fract_y
_atom_site_fract_z
Pm1 Pm 0.204 0.181 0.012
Sm1 Sm 0.028 0.451 0.726
Sm2 Sm 0.150 0.046 0.370
Sm3 Sm 0.369 0.820 0.689
Sm4 Sm 0.481 0.657 0.242
Pd1 Pd 0.216 0.789 0.011
Pd2 Pd 0.307 0.423 0.433
# Crystal system ... triclinic
# Volume ... 202.62 Å³/f.u.

Energies relative to the most stable structure are model a 10.3; model b 0.0, reported in kJ/mol of atoms.

Model a:
# GGA-PBE Pm2Sn5Pd3, relaxed
data_Pm2Sn5Pd3
_chemical_formula_sum 'Pm8 Sn20 Pd12'
_symmetry_space_group_name_H-M 'I b a m'
_symmetry_Int_Tables_number 72
_symmetry_space_group_name_Hall '-I 2 2c'
_cell_length_a 10.941
_cell_length_b 12.940
_cell_length_c 6.584
_cell_angle_alpha 90.00
_cell_angle_beta 90.00
_cell_angle_gamma 90.00
loop_
_atom_site_label
_atom_site_type_symbol
_atom_site_fract_x
_atom_site_fract_y
_atom_site_fract_z
Pm1 Pm 0.228 0.143 0.000
Sn1 Sn 0.000 0.000 0.250
Sn2 Sn 0.000 0.278 0.250
Sn3 Sn 0.169 0.410 0.000
Pd1 Pd 0.000 0.500 0.250
Pd2 Pd 0.104 0.142 0.500
# Crystal system ... orthorhombic
# Volume ... 233.04 Å³/f.u.

Model b:
# GGA-PBE Pm2Sn5Pd3, relaxed
data_Pm2Sn5Pd3
_chemical_formula_sum 'Pm8 Sn20 Pd12'
_symmetry_space_group_name_H-M 'C m c 21'
_symmetry_Int_Tables_number 36
_cell_length_a 4.594
_cell_length_b 26.732
_cell_length_c 7.438
_cell_angle_alpha 90.00
_cell_angle_beta 90.00
_cell_angle_gamma 90.00
loop_
_symmetry_equiv_pos_as_xyz
'x,y,z'
'-x,-y,z+1/2'
'-x,y,z'
'x,-y,z+1/2'
'x+1/2,y+1/2,z'
'-x+1/2,-y+1/2,z+1/2'
'-x+1/2,y+1/2,z'
'x+1/2,-y+1/2,z+1/2'
loop_
_atom_site_label
_atom_site_type_symbol
_atom_site_fract_x
_atom_site_fract_y
_atom_site_fract_z
Pm1 Pm 0.000 0.023 0.000
Pm2 Pm 0.000 0.327 0.988
Sn1 Sn 0.000 0.097 0.633
Sn2 Sn 0.000 0.204 0.186
Sn3 Sn 0.000 0.211 0.765
Sn4 Sn 0.000 0.381 0.506
Sn5 Sn 0.000 0.452 0.836
Pd1 Pd 0.000 0.106 0.262
Pd2 Pd 0.000 0.278 0.467
Pd3 Pd 0.000 0.449 0.218
# Crystal system ... orthorhombic
# Volume ... 228.37 Å³/f.u.

Energies relative to the most stable structure are model a 2.8; model b 0.0, reported in kJ/mol of atoms.

Model a:
# GGA-PBE Pm3Sn7Pd2, relaxed
data_Pm3Sn7Pd2
_chemical_formula_sum 'Pm3 Sn7 Pd2'
_symmetry_space_group_name_H-M 'P 1 2/m 1'
_symmetry_Int_Tables_number 10
_cell_length_a 4.725
_cell_length_b 4.582
_cell_length_c 14.329
_cell_angle_alpha 90.00
_cell_angle_beta 99.47
_cell_angle_gamma 90.00
loop_
_symmetry_equiv_pos_as_xyz
'x,y,z'
'-x,-y,-z'
'-x,y,-z'
'x,-y,z'
loop_
_atom_site_label
_atom_site_type_symbol
_atom_site_fract_x
_atom_site_fract_y
_atom_site_fract_z
Pm1 Pm 0.000 0.000 0.000
Pm2 Pm 0.316 0.500 0.632
Sn1 Sn 0.084 0.500 0.170
Sn2 Sn 0.223 0.000 0.445
Sn3 Sn 0.412 0.000 0.826
Sn4 Sn 0.500 0.500 0.000
Pd1 Pd 0.132 0.000 0.263
# Crystal system ... monoclinic
# Volume ... 305.99 Å³/f.u.

Model b:
# GGA-PBE Pm3Sn7Pd2, relaxed
data_Pm3Sn7Pd2
_chemical_formula_sum 'Pm6 Sn14 Pd4'
_symmetry_space_group_name_H-M 'C m m m'
_symmetry_Int_Tables_number 65
_symmetry_space_group_name_Hall '-C 2 2'
_cell_length_a 4.622
_cell_length_b 29.862
_cell_length_c 4.419
_cell_angle_alpha 90.00
_cell_angle_beta 90.00
_cell_angle_gamma 90.00
loop_
_atom_site_label
_atom_site_type_symbol
_atom_site_fract_x
_atom_site_fract_y
_atom_site_fract_z
Pm1 Pm 0.000 0.000 0.000
Pm2 Pm 0.000 0.180 0.000
Sn1 Sn 0.000 0.087 0.500
Sn2 Sn 0.000 0.276 0.500
Sn3 Sn 0.000 0.415 0.000
Sn4 Sn 0.000 0.500 0.500
Pd1 Pd 0.000 0.362 0.500
# Crystal system ... orthorhombic
# Volume ... 304.93 Å³/f.u.

Energies relative to the most stable structure are model a 0.0; model b 1.4, reported in kJ/mol of atoms.